Entry 1:
Crystalline GdZnPd at its relaxed geometry, computed with PBE.

Results
DFT formation energy   -1.178 eV per formula unit
DFT total energy   -36.82 eV/cell

```
GdZnPd
1.0
7.880 0.000 0.000
-3.940 6.824 0.000
0.000 0.000 3.329
Gd Zn Pd
3 3 3
Cartesian
2.798 4.846 0.000
2.285 0.000 0.000
-1.142 1.979 0.000
3.940 2.275 0.000
0.000 4.550 0.000
0.000 0.000 1.664
4.933 0.000 1.664
-2.466 4.272 1.664
1.474 2.552 1.664
```

---

Entry 2:
Crystalline BeInHgAu at its relaxed geometry, computed with PBE.

Results
DFT total energy   -8.61 eV/cell

```
BeInHgAu
1.0
0.000 3.367 3.367
3.367 0.000 3.367
3.367 3.367 0.000
Hg Au In Be
1 1 1 1
Cartesian
1.683 1.683 1.683
5.050 5.050 5.050
0.000 0.000 0.000
3.367 3.367 3.367
```

---

Entry 3:
Crystalline HfFe2Pt at its relaxed geometry, computed with PBE.

Results
DFT formation energy   -1.384 eV per formula unit
DFT total energy   -34.01 eV/cell

```
HfFe2Pt
1.0
-3.806 -1.928 1.091
-1.138 -0.386 4.237
-3.307 2.415 1.620
Fe Pt Hf
2 1 1
Cartesian
-2.063 0.025 1.737
0.000 0.000 0.000
-6.188 0.075 5.211
-4.125 0.050 3.474
```

---

Entry 4:
Crystalline CdCoTeAu at its relaxed geometry, computed with PBE.

Results
DFT total energy   -12.89 eV/cell

```
CdCoTeAu
1.0
-2.838 -3.764 -1.106
-4.815 0.506 0.036
-2.468 -0.029 -4.165
Au Te Co Cd
1 1 1 1
Cartesian
-7.591 -2.465 -3.927
-2.530 -0.822 -1.309
0.000 0.000 0.000
-5.061 -1.643 -2.618
```

---

Entry 5:
Crystalline PrCoGe at its relaxed geometry, computed with PBE.

Results
DFT total energy   -36.56 eV/cell

```
PrCoGe
1.0
-1.184 3.907 -0.791
-3.962 -1.245 -0.217
-0.735 1.153 6.800
Ge Co Pr
2 2 2
Cartesian
-2.582 0.321 5.453
-0.726 2.164 0.843
0.000 0.000 0.000
-2.573 1.331 -0.504
-2.212 -0.260 2.025
-1.097 2.745 4.272
```

---

Entry 6:
Crystalline InGeW at its relaxed geometry, computed with PBE.

Results
DFT total energy   -17.40 eV/cell

```
InGeW
1.0
-0.356 -2.359 3.698
-1.283 1.943 3.734
-3.973 -0.870 1.681
In W Ge
1 1 1
Cartesian
-1.403 -0.322 2.278
-4.209 -0.965 6.835
0.000 0.000 0.000
```

---

Entry 7:
Crystalline Cd2TcMo at its relaxed geometry, computed with PBE.

Results
DFT formation energy   1.997 eV per formula unit
DFT total energy   -21.00 eV/cell

```
Cd2TcMo
1.0
3.587 -2.600 1.263
0.359 -1.472 4.350
-0.619 -4.458 0.982
Tc Mo Cd
1 1 2
Cartesian
2.495 -6.397 4.946
1.663 -4.265 3.298
0.832 -2.132 1.649
0.000 0.000 0.000
```

---

Entry 8:
Crystalline LaBiAu2 at its relaxed geometry, computed with PBE.

Results
DFT total energy   -35.36 eV/cell

```
LaBiAu2
1.0
-4.600 -1.726 -1.735
4.353 -1.067 -2.657
1.042 -7.532 4.731
Au Bi La
4 2 2
Cartesian
-1.195 -4.543 -0.135
1.990 -5.782 0.474
-1.515 -2.235 -1.584
2.310 -8.089 1.923
1.629 -3.169 -1.167
-0.834 -7.155 1.506
0.000 0.000 0.000
0.521 -3.766 2.365
```